No. 1
# CeCo2H6

A geometry-optimized CeCo2H6 structure (PBE, Alexandria).

ρ = 6.3 g/cm³
distance to the lowest polymorph of the same formula = 0.000 eV/atom
density of states at the Fermi level = 4.8 states/eV/cell

Unit cell a=4.3790 b=4.3790 c=4.1944 alpha=90.00 beta=90.00 gamma=120.00
With the nearest neighbours (Å) after each atom.
Element x y z (fractional)
Ce: 0.0000 0.0000 0.0000  12 H 2.43
Co: 0.3333 0.6667 0.5000  6 H 1.64
Co: 0.6667 0.3333 0.5000  6 H 1.64
H: 0.0000 0.5000 0.2491  2 Co 1.64
H: 0.0000 0.5000 0.7509  2 Co 1.64
H: 0.5000 0.0000 0.2491  2 Co 1.64
H: 0.5000 0.0000 0.7509  2 Co 1.64
H: 0.5000 0.5000 0.2491  2 Co 1.64
H: 0.5000 0.5000 0.7509  2 Co 1.64

=====

No. 2
# Ce2CoH

A geometry-optimized Ce2CoH structure (PBE, Alexandria).

ρ = 8.0 g/cm³
distance to the lowest polymorph of the same formula = 0.000 eV/atom
density of states at the Fermi level = 21.3 states/eV/cell

Unit cell a=11.4738 b=4.7376 c=5.9607 alpha=90.00 beta=119.36 gamma=90.00
With the nearest neighbours (Å) after each atom.
Element x y z (fractional)
Ce: 0.1196 0.0000 0.2992  2 Co 2.39, 2 H 2.49
Ce: 0.1399 0.5000 0.7856  3 H 2.41-2.47
Ce: 0.3601 0.0000 0.2144  3 H 2.41-2.47
Ce: 0.3804 0.5000 0.7008  2 Co 2.39, 2 H 2.49
Ce: 0.6196 0.5000 0.2992  2 Co 2.39, 2 H 2.49
Ce: 0.6399 0.0000 0.7856  3 H 2.41-2.47
Ce: 0.8601 0.5000 0.2144  3 H 2.41-2.47
Ce: 0.8804 0.0000 0.7008  2 Co 2.39, 2 H 2.49
Co: 0.1120 0.5000 0.2396  2 Ce 2.39
Co: 0.3880 0.0000 0.7604  2 Ce 2.39
Co: 0.6120 0.0000 0.2396  2 Ce 2.39
Co: 0.8880 0.5000 0.7604  2 Ce 2.39
H: 0.1276 0.0000 0.8890  5 Ce 2.41-2.49
H: 0.3724 0.5000 0.1110  5 Ce 2.41-2.49
H: 0.6276 0.5000 0.8890  5 Ce 2.41-2.49
H: 0.8724 0.0000 0.1110  5 Ce 2.41-2.49

=====

No. 3
# Ce3CoH

A geometry-optimized Ce3CoH structure (PBE, Alexandria).

ρ = 8.4 g/cm³
density of states at the Fermi level = 15.1 states/eV/cell
calculated total energy = -58.3 eV/cell

Unit cell a=4.1402 b=5.6618 c=8.5666 alpha=77.74 beta=89.11 gamma=75.58
With the nearest neighbours (Å) after each atom.
Element x y z (fractional)
Ce: 0.0277 0.3336 0.3449  1 H 2.32, 1 Co 2.52
Ce: 0.3419 0.7132 0.0454  2 H 2.23-2.25
Ce: 0.3528 0.9980 0.7105  1 H 2.31, 1 Co 2.33
Ce: 0.6472 0.0020 0.2895  1 H 2.31, 1 Co 2.33
Ce: 0.6581 0.2868 0.9546  2 H 2.23-2.25
Ce: 0.9723 0.6664 0.6551  1 H 2.32, 1 Co 2.52
Co: 0.3596 0.7227 0.4279  2 Ce 2.33-2.52, 1 Co 2.55
Co: 0.6404 0.2773 0.5721  2 Ce 2.33-2.52, 1 Co 2.55
H: 0.1564 0.3066 0.8522  4 Ce 2.23-2.32
H: 0.8436 0.6934 0.1478  4 Ce 2.23-2.32

=====

No. 4
# Ce2CoH

A geometry-optimized Ce2CoH structure (PBE, Alexandria).

ρ = 8.8 g/cm³
distance to the lowest polymorph of the same formula = 0.139 eV/atom
density of states at the Fermi level = 5.9 states/eV/cell

Unit cell a=3.1667 b=3.1667 c=6.4336 alpha=90.00 beta=90.00 gamma=90.00
With the nearest neighbours (Å) after each atom.
Element x y z (fractional)
Ce: 0.0000 0.0000 0.2218  4 H 2.66, 1 Ce 2.85, 4 Co 2.87
Ce: 0.0000 0.0000 0.7782  4 H 2.66, 1 Ce 2.85, 4 Co 2.87
Co: 0.5000 0.5000 0.5000  8 Ce 2.87, 4 Co 3.17
H: 0.5000 0.5000 0.0000  8 Ce 2.66

=====

No. 5
# Ce4Co2H

A geometry-optimized Ce4Co2H structure (PBE, Alexandria).

ρ = 7.3 g/cm³
distance to the lowest polymorph of the same formula = 0.000 eV/atom
density of states at the Fermi level = 28.8 states/eV/cell

Unit cell a=7.5792 b=7.5792 c=7.5792 alpha=119.93 beta=119.93 gamma=90.12
With the nearest neighbours (Å) after each atom.
Element x y z (fractional)
Ce: 0.2499 0.2506 0.5007  1 H 2.32
Ce: 0.2499 0.7492 0.9993  1 H 2.32
Ce: 0.2506 0.2499 0.0007  1 H 2.32
Ce: 0.2508 0.7501 0.5007  1 H 2.32
Ce: 0.7492 0.2499 0.4993  1 H 2.32
Ce: 0.7494 0.7501 0.9993  1 H 2.32
Ce: 0.7501 0.2508 0.0007  1 H 2.32
Ce: 0.7501 0.7494 0.4993  1 H 2.32
Co: 0.0000 0.0000 0.0000  6 Ce 2.68-2.69
Co: 0.0000 0.0000 0.5000  6 Ce 2.68-2.69
Co: 0.0000 0.5000 0.0000  6 Ce 2.68-2.69
Co: 0.5000 0.0000 0.5000  6 Ce 2.68-2.69
H: 0.3750 0.6250 0.7500  4 Ce 2.32
H: 0.6250 0.3750 0.2500  4 Ce 2.32

=====

No. 6
# CeCoH3

A geometry-optimized CeCoH3 structure (PBE, Alexandria).

ρ = 7.3 g/cm³
density of states at the Fermi level = 5.3 states/eV/cell
calculated total energy = -25.0 eV/cell

Unit cell a=3.5762 b=3.5762 c=3.5762 alpha=90.00 beta=90.00 gamma=90.00
With the nearest neighbours (Å) after each atom.
Element x y z (fractional)
Ce: 0.0000 0.0000 0.0000  12 H 2.53
Co: 0.5000 0.5000 0.5000  6 H 1.79
H: 0.0000 0.5000 0.5000  2 Co 1.79
H: 0.5000 0.0000 0.5000  2 Co 1.79
H: 0.5000 0.5000 0.0000  2 Co 1.79

=====

No. 7
# Ce2Co2H7

A geometry-optimized Ce2Co2H7 structure (PBE, Alexandria).

ρ = 6.7 g/cm³
density of states at the Fermi level = 10.0 states/eV/cell
calculated total energy = -52.5 eV/cell

Unit cell a=5.7786 b=5.7786 c=3.6129 alpha=98.29 beta=98.29 gamma=119.77
With the nearest neighbours (Å) after each atom.
Element x y z (fractional)
Ce: 0.1684 0.8316 0.0000  10 H 2.34-2.57
Ce: 0.8316 0.1684 0.0000  10 H 2.34-2.57
Co: 0.3151 0.3151 0.6920  4 H 1.60-1.76
Co: 0.6849 0.6849 0.3080  4 H 1.60-1.76
H: 0.0000 0.0000 0.5000  2 Co 1.76
H: 0.1213 0.4378 0.6276  1 Co 1.60
H: 0.3498 0.3498 0.1853  3 Co 1.74-1.90
H: 0.4378 0.1213 0.6276  1 Co 1.60
H: 0.5622 0.8787 0.3724  1 Co 1.60
H: 0.6502 0.6502 0.8146  3 Co 1.74-1.90
H: 0.8787 0.5622 0.3724  1 Co 1.60

=====

No. 8
# CeCo5H4

A geometry-optimized CeCo5H4 structure (PBE, Alexandria).

ρ = 7.8 g/cm³
density of states at the Fermi level = 10.6 states/eV/cell
calculated total energy = -56.3 eV/cell

Unit cell a=5.1152 b=5.1152 c=4.0280 alpha=90.00 beta=90.00 gamma=117.96
With the nearest neighbours (Å) after each atom.
Element x y z (fractional)
Ce: 0.0000 0.0000 0.0000  8 H 2.35-2.56
Co: 0.0000 0.5000 0.5000  2 H 1.64
Co: 0.3643 0.6357 0.0000  2 H 1.66
Co: 0.5000 0.0000 0.5000  2 H 1.64
Co: 0.5000 0.5000 0.5000  8 Co 2.34-2.56
Co: 0.6357 0.3643 0.0000  2 H 1.66
H: 0.0000 0.5000 0.0000  2 Co 1.66
H: 0.1377 0.8623 0.5000  2 Co 1.64
H: 0.5000 0.0000 0.0000  2 Co 1.66
H: 0.8623 0.1377 0.5000  2 Co 1.64

=====

No. 9
# CeCo2H6

A geometry-optimized CeCo2H6 structure (PBE, Alexandria).

ρ = 5.8 g/cm³
distance to the lowest polymorph of the same formula = 0.168 eV/atom
density of states at the Fermi level = 5.3 states/eV/cell

Unit cell a=4.3737 b=4.3737 c=5.9913 alpha=116.07 beta=116.07 gamma=48.81
With the nearest neighbours (Å) after each atom.
Element x y z (fractional)
Ce: 0.0000 0.0000 0.0000  6 H 2.17-2.35
Co: 0.1955 0.1955 0.6075  4 H 1.59-1.69
Co: 0.8045 0.8045 0.3925  4 H 1.59-1.69
H: 0.0101 0.0101 0.6448  2 Co 1.60-1.61, 1 H 1.66
H: 0.2872 0.2872 0.9094  1 Co 1.59
H: 0.2928 0.2928 0.4113  3 Co 1.69-1.82
H: 0.7072 0.7072 0.5887  3 Co 1.69-1.82
H: 0.7128 0.7128 0.0906  1 Co 1.59
H: 0.9899 0.9899 0.3552  2 Co 1.60-1.61, 1 H 1.66

=====

No. 10
# CeCoH3

A geometry-optimized CeCoH3 structure (PBE, Alexandria).

ρ = 6.7 g/cm³
density of states at the Fermi level = 10.4 states/eV/cell
calculated total energy = -48.9 eV/cell

Unit cell a=5.3366 b=3.5117 c=5.4205 alpha=90.00 beta=99.69 gamma=90.00
With the nearest neighbours (Å) after each atom.
Element x y z (fractional)
Ce: 0.0000 0.0000 0.0000  1 Co 2.19, 1 H 2.28
Ce: 0.4300 0.0000 0.5746  7 H 2.28-2.52
Co: 0.6740 0.0000 0.1978  1 H 1.58
Co: 0.9353 0.5000 0.5083  6 H 1.64-1.76
H: 0.1579 0.5000 0.3260  1 Co 1.67
H: 0.1742 0.5000 0.7421  1 Co 1.64
H: 0.4260 0.0000 0.9937  1 Co 1.58
H: 0.6821 0.5000 0.2719  3 Co 1.70-1.80
H: 0.7485 0.5000 0.7202  1 Co 1.64
H: 0.9192 0.0000 0.4961  3 Co 1.76-1.90

=====

- What is the density of states at the Fermi level in the fifth record?
  28.8 states/eV/cell

=====

- What is the ρ in the tenth record?
  6.7 g/cm³

=====

- ρ of number 3 (Ce3CoH)?
  8.4 g/cm³